Record 1
# LiEuCu2 (GGA-PBE, optimized geometry)
# polymorph energy (0 for the lowest one) = 0.000 eV/atom
data_LiEuCu2
_space_group_name_H-M_alt 'R -3 m'
_space_group_IT_number 166
_space_group_name_Hall '-R 3 2"'
_cell_length_a 4.2896
_cell_length_b 4.2896
_cell_length_c 15.1795
_cell_angle_alpha 90.00
_cell_angle_beta 90.00
_cell_angle_gamma 120.00
loop_
_atom_site_label
_atom_site_type_symbol
_atom_site_fract_x
_atom_site_fract_y
_atom_site_fract_z
_atom_site_occupancy
Li1 Li 0.0000 0.0000 0.0000 1
Eu1 Eu 0.0000 0.0000 0.5000 1
Cu1 Cu 0.0000 0.0000 0.3029 1


Record 2
# CaTh2Sn9 (GGA-PBE, optimized geometry)
# calculated total energy = -4.830 eV per atom
data_CaTh2Sn9
_space_group_name_H-M_alt 'P 4/m m m'
_space_group_IT_number 123
_space_group_name_Hall '-P 4 2'
_cell_length_a 4.7520
_cell_length_b 4.7520
_cell_length_c 14.3033
_cell_angle_alpha 90.00
_cell_angle_beta 90.00
_cell_angle_gamma 90.00
loop_
_atom_site_label
_atom_site_type_symbol
_atom_site_fract_x
_atom_site_fract_y
_atom_site_fract_z
_atom_site_occupancy
Ca1 Ca 0.0000 0.0000 0.0000 1
Th1 Th 0.0000 0.0000 0.3372 1
Sn1 Sn 0.0000 0.5000 0.1660 1
Sn2 Sn 0.0000 0.5000 0.5000 1
Sn3 Sn 0.5000 0.5000 0.0000 1
Sn4 Sn 0.5000 0.5000 0.3327 1


Record 3
# Ca2SiCl (GGA-PBE, optimized geometry)
# polymorph energy (0 for the lowest one) = 0.000 eV/atom
data_Ca2SiCl
_space_group_name_H-M_alt 'P m m m'
_space_group_IT_number 47
_cell_length_a 3.4886
_cell_length_b 3.9361
_cell_length_c 7.8216
_cell_angle_alpha 90.00
_cell_angle_beta 90.00
_cell_angle_gamma 90.00
loop_
_space_group_symop_operation_xyz
'x,y,z'
'-x,-y,-z'
'-x,-y,z'
'x,y,-z'
'x,-y,-z'
'-x,y,z'
'-x,y,-z'
'x,-y,z'
loop_
_atom_site_label
_atom_site_type_symbol
_atom_site_fract_x
_atom_site_fract_y
_atom_site_fract_z
_atom_site_occupancy
Ca1 Ca 0.0000 0.0000 0.2118 1
Si1 Si 0.5000 0.5000 0.0000 1
Cl1 Cl 0.5000 0.0000 0.5000 1


Number 1: N(E_F) 11.1 states/eV/f.u., V 242 Å³/cell, total moment 1.794 μB/atom. Number 2: N(E_F) 6.1 states/eV/f.u., V 323 Å³/cell, total moment 0.000 μB/atom. Number 3: N(E_F) 1.0 states/eV/f.u., V 107 Å³/cell, total moment 0.000 μB/atom.